# 1
Computed, not measured: a geometry-optimized Sc2FeRu structure at the PBE level of DFT.

Values from the calculation:
The formation energy from the elements comes out at -3.8 kJ per mole of atoms. Its calculated volume is 262.3 Å³/cell.

The structure in CIF format:
```
data_Sc2FeRu
_cell_length_a 6.4009
_cell_length_b 6.4009
_cell_length_c 6.4009
_cell_angle_alpha 90.00
_cell_angle_beta 90.00
_cell_angle_gamma 90.00
_space_group_name_H-M_alt 'F -4 3 m'
_space_group_IT_number 216
_space_group_name_Hall 'F -4 2 3'
loop_
_atom_site_label
_atom_site_type_symbol
_atom_site_fract_x
_atom_site_fract_y
_atom_site_fract_z
Sc1 Sc 0.0000 0.0000 0.0000
Sc2 Sc 0.2500 0.2500 0.2500
Fe1 Fe 0.2500 0.2500 0.7500
Ru1 Ru 0.0000 0.0000 0.5000
```



# 2
Computed, not measured: a geometry-optimized TlCo2Cl structure at the PBE level of DFT.

Values from the calculation:
The value obtained for the relative energy among the computed polymorphs is 382 meV per atom. As for the uncorrected formation energy: 0.618 eV per atom. Its calculated volume is 69.9 Å³/cell.

The structure in CIF format:
```
data_TlCo2Cl
_cell_length_a 3.0201
_cell_length_b 4.2445
_cell_length_c 5.4534
_cell_angle_alpha 90.00
_cell_angle_beta 90.00
_cell_angle_gamma 90.00
_space_group_name_H-M_alt 'P m m m'
_space_group_IT_number 47
loop_
_space_group_symop_operation_xyz
'x,y,z'
'-x,-y,-z'
'-x,-y,z'
'x,y,-z'
'x,-y,-z'
'-x,y,z'
'-x,y,-z'
'x,-y,z'
loop_
_atom_site_label
_atom_site_type_symbol
_atom_site_fract_x
_atom_site_fract_y
_atom_site_fract_z
Tl1 Tl 0.0000 0.0000 0.0000
Co1 Co 0.0000 0.5000 0.5000
Co2 Co 0.5000 0.5000 0.0000
Cl1 Cl 0.5000 0.0000 0.5000
```



# 3
Computed, not measured: a geometry-optimized YInPdN2 structure at the PBE level of DFT.

Values from the calculation:
As for the uncorrected formation energy: 1.135 eV per atom. Its calculated volume is 93.6 Å³/cell.

The structure in CIF format:
```
data_YInPdN2
_cell_length_a 4.2227
_cell_length_b 4.2227
_cell_length_c 5.2466
_cell_angle_alpha 90.00
_cell_angle_beta 90.00
_cell_angle_gamma 90.00
_space_group_name_H-M_alt 'P 4/m m m'
_space_group_IT_number 123
_space_group_name_Hall '-P 4 2'
loop_
_atom_site_label
_atom_site_type_symbol
_atom_site_fract_x
_atom_site_fract_y
_atom_site_fract_z
Y1 Y 0.0000 0.0000 0.0000
In1 In 0.5000 0.5000 0.0000
Pd1 Pd 0.0000 0.0000 0.5000
N1 N 0.0000 0.5000 0.5000
```



# 4
Computed, not measured: a geometry-optimized Pr2Zn2Cu structure at the PBE level of DFT.

Values from the calculation:
The formation energy from the elements comes out at -25.4 kJ per mole of atoms. Its calculated volume is 459.2 Å³/cell.

The structure in CIF format:
```
data_Pr2Zn2Cu
_cell_length_a 10.2374
_cell_length_b 4.5932
_cell_length_c 10.9560
_cell_angle_alpha 90.00
_cell_angle_beta 116.96
_cell_angle_gamma 90.00
_space_group_name_H-M_alt 'C 1 2/m 1'
_space_group_IT_number 12
loop_
_space_group_symop_operation_xyz
'x,y,z'
'-x,-y,-z'
'-x,y,-z'
'x,-y,z'
'x+1/2,y+1/2,z'
'-x+1/2,-y+1/2,-z'
'-x+1/2,y+1/2,-z'
'x+1/2,-y+1/2,z'
loop_
_atom_site_label
_atom_site_type_symbol
_atom_site_fract_x
_atom_site_fract_y
_atom_site_fract_z
Pr1 Pr 0.0183 0.0000 0.3360
Pr2 Pr 0.2033 0.0000 0.1114
Zn1 Zn 0.0020 0.5000 0.1181
Zn2 Zn 0.1463 0.5000 0.5617
Cu1 Cu 0.2281 0.5000 0.3512
```



# 5
Computed, not measured: a geometry-optimized ScSiP2 structure at the PBE level of DFT.

Values from the calculation:
As for the uncorrected formation energy: -0.296 eV per atom. Its calculated volume is 126.6 Å³/cell.

The structure in CIF format:
```
data_ScSiP2
_cell_length_a 5.7466
_cell_length_b 6.4883
_cell_length_c 3.3957
_cell_angle_alpha 90.00
_cell_angle_beta 90.00
_cell_angle_gamma 90.00
_space_group_name_H-M_alt 'C m m m'
_space_group_IT_number 65
_space_group_name_Hall '-C 2 2'
loop_
_atom_site_label
_atom_site_type_symbol
_atom_site_fract_x
_atom_site_fract_y
_atom_site_fract_z
Sc1 Sc 0.0000 0.0000 0.0000
Si1 Si 0.0000 0.5000 0.0000
P1 P 0.2500 0.2500 0.5000
```



# 6
Computed, not measured: a geometry-optimized Sm4InAg2 structure at the PBE level of DFT.

Values from the calculation:
The formation energy from the elements comes out at -18.9 kJ per mole of atoms. The value obtained for the relative energy among the computed polymorphs is 0 meV per atom. Its calculated volume is 598.6 Å³/cell.

The structure in CIF format:
```
data_Sm4InAg2
_cell_length_a 5.2527
_cell_length_b 5.2527
_cell_length_c 25.0500
_cell_angle_alpha 90.00
_cell_angle_beta 90.00
_cell_angle_gamma 120.00
_space_group_name_H-M_alt 'R -3 m'
_space_group_IT_number 166
_space_group_name_Hall '-R 3 2"'
loop_
_atom_site_label
_atom_site_type_symbol
_atom_site_fract_x
_atom_site_fract_y
_atom_site_fract_z
Sm1 Sm 0.0000 0.0000 0.1145
Sm2 Sm 0.0000 0.0000 0.3689
In1 In 0.0000 0.0000 0.5000
Ag1 Ag 0.0000 0.0000 0.2424
```



# 7
Computed, not measured: a geometry-optimized LiTeMoN2 structure at the PBE level of DFT.

Values from the calculation:
The value obtained for the relative energy among the computed polymorphs is 1696 meV per atom. As for the uncorrected formation energy: 1.845 eV per atom. Its calculated volume is 68.5 Å³/cell.

The structure in CIF format:
```
data_LiTeMoN2
_cell_length_a 3.8454
_cell_length_b 3.8454
_cell_length_c 4.6355
_cell_angle_alpha 90.00
_cell_angle_beta 90.00
_cell_angle_gamma 90.00
_space_group_name_H-M_alt 'P 4/m m m'
_space_group_IT_number 123
_space_group_name_Hall '-P 4 2'
loop_
_atom_site_label
_atom_site_type_symbol
_atom_site_fract_x
_atom_site_fract_y
_atom_site_fract_z
Li1 Li 0.0000 0.0000 0.0000
Te1 Te 0.0000 0.0000 0.5000
Mo1 Mo 0.5000 0.5000 0.5000
N1 N 0.0000 0.5000 0.0000
```



# 8
Computed, not measured: a geometry-optimized FeSnPd3 structure at the PBE level of DFT.

Values from the calculation:
The formation energy from the elements comes out at 46.0 kJ per mole of atoms. The value obtained for the relative energy among the computed polymorphs is 0 meV per atom. Its calculated volume is 100.6 Å³/cell.

The structure in CIF format:
```
data_FeSnPd3
_cell_length_a 4.6503
_cell_length_b 4.6503
_cell_length_c 4.6503
_cell_angle_alpha 90.00
_cell_angle_beta 90.00
_cell_angle_gamma 90.00
_space_group_name_H-M_alt 'P m -3 m'
_space_group_IT_number 221
_space_group_name_Hall '-P 4 2 3'
loop_
_atom_site_label
_atom_site_type_symbol
_atom_site_fract_x
_atom_site_fract_y
_atom_site_fract_z
Fe1 Fe 0.0000 0.0000 0.0000
Sn1 Sn 0.5000 0.5000 0.5000
Pd1 Pd 0.0000 0.0000 0.5000
```